No. 1
Compound: RbHgPb
Source: Alexandria via LeMat-Bulk
Functional: PBE-GGA
Structure: relaxed

Values from the calculation:
- DFT total energy (eV for the cell shown) = -10.94
- magnetic moment (Bohr magnetons per cell) = 0.0
- theoretical density (kg/m3) = 7181
- offset from the most stable computed form (meV/atom) = 14

a b c (Å): 5.035 5.035 8.998
angles (deg): 90.00 90.00 90.00
Fractional positions:
Rb: 0.250 0.250 0.156
Rb: 0.750 0.750 0.844
Hg: 0.250 0.250 0.731
Hg: 0.750 0.750 0.269
Pb: 0.250 0.750 0.500
Pb: 0.750 0.250 0.500


No. 2
Compound: RbHg4Pb6
Source: Alexandria via LeMat-Bulk
Functional: PBE-GGA
Structure: relaxed

Values from the calculation:
- DFT total energy (eV for the cell shown) = -24.72
- magnetic moment (Bohr magnetons per cell) = 0.0
- theoretical density (kg/m3) = 9872

a b c (Å): 8.911 8.911 5.212
angles (deg): 90.00 90.00 120.00
Fractional positions:
Rb: 0.000 0.000 0.000
Hg: 0.204 0.408 0.500
Hg: 0.204 0.796 0.500
Hg: 0.592 0.796 0.500
Hg: 0.667 0.333 0.000
Pb: 0.067 0.534 0.000
Pb: 0.412 0.206 0.500
Pb: 0.466 0.534 0.000
Pb: 0.466 0.933 0.000
Pb: 0.794 0.206 0.500
Pb: 0.794 0.588 0.500


no.,calculated volume (A^3/atom),formation energy from the elements (meV per atom)
1,38.0,-165
2,32.6,-27